## Rb2MoI2Cl4 (PBE-GGA)

Data for a geometry-optimized Rb2MoI2Cl4 structure.

Properties
Uncorrected formation energy: -1182 meV/atom
Theoretical density: 3.47 Mg/m³
VASP energy: -3.765 eV per atom

a = 7.639 Å, b = 7.639 Å, c = 7.639 Å
α = 90.63°, β = 119.64°, γ = 119.64°
Last column: magnetic moment on the atom in μB.
Sites, in units of the cell vectors:
Rb1 0.500 0.250 0.750  0.00
Rb2 0.500 0.750 0.250  0.00
Cl1 0.559 0.779 0.779  0.01
Cl2 0.441 0.221 0.221  0.01
Cl3 0.000 0.221 0.779  0.01
Cl4 0.000 0.779 0.221  0.01
I1 0.000 0.260 0.260  -0.01
I2 0.000 0.740 0.740  -0.01
Mo1 0.000 0.000 0.000  1.70

## NdPd3O4 (PBE-GGA)

Data for a geometry-optimized NdPd3O4 structure.

Properties
Uncorrected formation energy: -1309 meV/atom
Theoretical density: 8.37 Mg/m³
VASP energy: -6.332 eV per atom

a = 5.938 Å, b = 5.938 Å, c = 5.938 Å
α = 90.00°, β = 90.00°, γ = 90.00°
Sites, in units of the cell vectors:
Pd1 0.000 0.500 0.750
Pd2 0.500 0.250 0.000
Pd3 0.750 0.000 0.500
Pd4 0.500 0.750 0.000
Pd5 0.250 0.000 0.500
Pd6 0.000 0.500 0.250
O1 0.750 0.750 0.750
O2 0.250 0.250 0.250
O3 0.250 0.250 0.750
O4 0.250 0.750 0.250
O5 0.250 0.750 0.750
O6 0.750 0.250 0.750
O7 0.750 0.750 0.250
O8 0.750 0.250 0.250
Nd1 0.000 0.000 0.000
Nd2 0.500 0.500 0.500

## Pm3Nd8Sm (PBE-GGA)

Data for a geometry-optimized Pm3Nd8Sm structure.

Properties
Theoretical density: 6.88 Mg/m³
Energy of formation from the pure elements: 0.0112 eV per atom
VASP energy: -4.748 eV per atom

a = 6.369 Å, b = 8.225 Å, c = 13.224 Å
α = 79.49°, β = 108.73°, γ = 49.58°
Sites, in units of the cell vectors:
Sm1 0.125 0.748 0.625
Pm1 0.375 0.247 0.875
Pm2 0.875 0.247 0.375
Pm3 0.625 0.748 0.125
Nd1 0.291 0.414 0.458
Nd2 0.042 0.914 0.208
Nd3 0.708 0.581 0.542
Nd4 0.958 0.081 0.791
Nd5 0.542 0.914 0.708
Nd6 0.208 0.581 0.042
Nd7 0.458 0.081 0.292
Nd8 0.791 0.414 0.958

## La2TbPrY5 (PBE-GGA)

Data for a geometry-optimized La2TbPrY5 structure.

Properties
Theoretical density: 5.63 Mg/m³
Energy of formation from the pure elements: 0.2331 eV per atom
VASP energy: -5.499 eV per atom

a = 8.687 Å, b = 8.687 Å, c = 10.082 Å
α = 115.52°, β = 115.52°, γ = 90.00°
Sites, in units of the cell vectors:
Y1 0.500 0.500 0.000
Y2 0.353 0.853 0.281
Y3 0.647 0.147 0.719
Y4 0.853 0.928 0.281
Y5 0.428 0.353 0.281
Y6 0.147 0.072 0.719
Y7 0.072 0.572 0.719
Y8 0.000 0.000 0.000
Y9 0.928 0.428 0.281
Y10 0.572 0.647 0.719
Tb1 0.250 0.250 0.500
Tb2 0.750 0.750 0.500
La1 0.618 0.118 0.000
La2 0.382 0.882 0.000
La3 0.118 0.382 0.000
La4 0.882 0.618 0.000
Pr1 0.250 0.750 0.500
Pr2 0.750 0.250 0.500

## Ba2Mg5Ga3 (PBE-GGA)

Data for a geometry-optimized Ba2Mg5Ga3 structure.

Properties
Energy above the most stable polymorph in this dataset: 0.0 meV/atom
Theoretical density: 3.63 Mg/m³
Energy of formation from the pure elements: -0.2293 eV per atom
VASP energy: -2.319 eV per atom

a = 6.870 Å, b = 9.667 Å, c = 9.667 Å
α = 90.72°, β = 69.22°, γ = 69.22°
Sites, in units of the cell vectors:
Mg1 0.875 0.241 0.008
Mg2 0.375 0.008 0.241
Mg3 0.750 0.500 0.500
Mg4 0.625 0.992 0.759
Mg5 0.750 0.733 0.267
Mg6 0.125 0.759 0.992
Mg7 0.750 0.267 0.733
Mg8 0.250 0.733 0.267
Mg9 0.250 0.267 0.733
Mg10 0.250 0.500 0.500
Ba1 0.742 0.636 0.881
Ba2 0.758 0.119 0.364
Ba3 0.242 0.881 0.636
Ba4 0.258 0.364 0.119
Ga1 0.750 0.000 0.000
Ga2 0.250 0.000 0.000
Ga3 0.361 0.515 0.761
Ga4 0.139 0.239 0.485
Ga5 0.861 0.761 0.515
Ga6 0.639 0.485 0.239

## Dy3Ho2Sc (PBE-GGA)

Data for a geometry-optimized Dy3Ho2Sc structure.

Properties
Energy above the most stable polymorph in this dataset: 0.0 meV/atom
Theoretical density: 7.77 Mg/m³
Energy of formation from the pure elements: 0.1313 eV per atom
VASP energy: -4.751 eV per atom

a = 6.427 Å, b = 6.732 Å, c = 9.124 Å
α = 93.55°, β = 110.62°, γ = 90.00°
Sites, in units of the cell vectors:
Ho1 0.381 0.812 0.634
Ho2 0.619 0.188 0.366
Ho3 0.254 0.312 0.634
Ho4 0.746 0.688 0.366
Sc1 0.817 0.750 0.000
Sc2 0.183 0.250 0.000
Dy1 0.817 0.482 0.712
Dy2 0.105 0.018 0.288
Dy3 0.895 0.982 0.712
Dy4 0.675 0.250 0.000
Dy5 0.325 0.750 0.000
Dy6 0.183 0.518 0.288

## ZrCuSn2Se5 (PBE-GGA)

Data for a geometry-optimized ZrCuSn2Se5 structure.

Properties
Uncorrected formation energy: -648 meV/atom
Theoretical density: 5.45 Mg/m³
VASP energy: -4.878 eV per atom

a = 3.882 Å, b = 9.689 Å, c = 13.019 Å
α = 90.00°, β = 90.00°, γ = 101.56°
Sites, in units of the cell vectors:
Se1 0.655 0.310 0.517
Se2 0.943 0.886 0.556
Se3 0.345 0.690 0.017
Se4 0.701 0.402 0.881
Se5 0.057 0.114 0.056
Se6 0.292 0.583 0.674
Se7 0.476 0.952 0.284
Se8 0.708 0.417 0.174
Se9 0.299 0.598 0.381
Se10 0.524 0.048 0.784
Zr1 0.801 0.602 0.523
Zr2 0.199 0.398 0.023
Sn1 0.078 0.155 0.273
Sn2 0.145 0.291 0.665
Sn3 0.855 0.709 0.165
Sn4 0.922 0.845 0.773
Cu1 0.418 0.836 0.451
Cu2 0.582 0.164 0.951

## SnTeAu (PBE-GGA)

Data for a geometry-optimized SnTeAu structure.

Properties
Uncorrected formation energy: -160 meV/atom
Theoretical density: 8.79 Mg/m³
VASP energy: -3.634 eV per atom

a = 7.158 Å, b = 7.386 Å, c = 6.869 Å
α = 112.79°, β = 90.00°, γ = 90.00°
Sites, in units of the cell vectors:
Au1 0.496 0.081 0.253
Au2 0.004 0.581 0.253
Au3 0.504 0.919 0.747
Au4 0.996 0.419 0.747
Sn1 0.856 0.762 0.727
Sn2 0.356 0.738 0.273
Sn3 0.644 0.262 0.727
Sn4 0.144 0.238 0.273
Te1 0.360 0.585 0.791
Te2 0.640 0.415 0.209
Te3 0.140 0.085 0.791
Te4 0.860 0.915 0.209